No. 1
Density functional theory data (meta-GGA SCAN) for a crystal of Sb2PbIN relaxed with PBEsol.

Values from the calculation:
Space-group type: P4/mmm, No. 123
Magnetization: 0.0 Bohr magnetons per cell
DFT total energy: -38.5287 eV/atom
Formation energy without anion corrections: 0.74 eV per atom

Cell lengths 4.854, 4.854, 4.945 Å; angles 90.00, 90.00, 90.00 degrees
Fractional coordinates of all 5 atoms:
Sb: 0.000 0.500 0.000
Sb: 0.500 0.000 0.000
Pb: 0.000 0.000 0.500
I: 0.500 0.500 0.500
N: 0.500 0.500 0.000

No. 2
Density functional theory data (meta-GGA SCAN) for a crystal of TiPbIN2 relaxed with PBEsol.

Values from the calculation:
Space-group type: P4/mmm, No. 123
Magnetization: 1.0 Bohr magnetons per cell
DFT total energy: -29.0657 eV/atom
Formation energy without anion corrections: 0.36 eV per atom

Cell lengths 4.148, 4.148, 5.402 Å; angles 90.00, 90.00, 90.00 degrees
Fractional coordinates of all 5 atoms:
Ti: 0.000 0.000 0.000
Pb: 0.500 0.500 0.500
I: 0.000 0.000 0.500
N: 0.000 0.500 0.000
N: 0.500 0.000 0.000

No. 3
Density functional theory data (meta-GGA SCAN) for a crystal of TlPbIN2 relaxed with PBEsol.

Values from the calculation:
Space-group type: P4/mmm, No. 123
Magnetization: 2.7 Bohr magnetons per cell
DFT total energy: -39.4095 eV/atom
Formation energy without anion corrections: 1.28 eV per atom

Cell lengths 4.595, 4.595, 6.367 Å; angles 90.00, 90.00, 90.00 degrees
Fractional coordinates of all 5 atoms:
Tl: 0.000 0.000 0.000
Pb: 0.500 0.500 0.500
I: 0.500 0.500 0.000
N: 0.000 0.500 0.500
N: 0.500 0.000 0.500

Q: formation energy without anion corrections of number 2 (TiPbIN2)?
A: 0.36 eV per atom